First-principles (PBE) data for a relaxed K5ErO4 crystal, as listed in the Alexandria database.

Lattice parameters (Å, degrees): 3.6885 7.2894 8.4947 106.48 102.54 90.00
Atoms (fractional coordinates):
K (0.8436, 0.6571, 0.6873)
K (0.8340, 0.1143, 0.6680)
K (0.1660, 0.8857, 0.3320)
K (0.5000, 0.5000, 0.0000)
K (0.1564, 0.3429, 0.3127)
Er (0.5000, 0.0000, 0.0000)
O (0.3539, 0.8903, 0.7077)
O (0.0027, 0.7898, 0.0055)
O (0.6461, 0.1097, 0.2923)
O (0.9973, 0.2102, 0.9945)

Computed properties:
Total magnetic moment = 0.1 Bohr magnetons per cell
V = 213.33 Å³ per cell
Symmetry = C2/m
Theoretical density = 3.32 g/cm³
Raw formation energy = -156.2 kJ per mole of atoms

First-principles (PBE) data for a relaxed AlCd2In crystal, as listed in the Alexandria database.

Lattice parameters (Å, degrees): 5.6538 5.6538 5.6641 77.34 77.34 30.78
Atoms (fractional coordinates):
Cd (0.0093, 0.0093, 0.0118)
Cd (0.2554, 0.2554, 0.2285)
Al (0.7426, 0.7426, 0.7357)
In (0.4928, 0.4928, 0.5241)

Computed properties:
Total magnetic moment = 0.0 Bohr magnetons per cell
V = 90.23 Å³ per cell
Symmetry = Cm
Theoretical density = 6.75 g/cm³
Density of states at the Fermi level = 1.06 states/eV/cell
DFT formation energy = 0.1170 eV/atom

First-principles (PBE) data for a relaxed GdPaSe2 crystal, as listed in the Alexandria database.

Lattice parameters (Å, degrees): 3.9747 3.9747 7.4578 74.55 74.55 60.00
Atoms (fractional coordinates):
Gd (0.0000, 0.0000, 0.0000)
Pa (0.5000, 0.5000, 0.5000)
Se (0.7489, 0.7489, 0.7533)
Se (0.2511, 0.2511, 0.2467)

Computed properties:
Total magnetic moment = 7.5 Bohr magnetons per cell
V = 97.09 Å³ per cell
Symmetry = R-3m
Theoretical density = 9.34 g/cm³
Raw formation energy = -144.8 kJ per mole of atoms
Density of states at the Fermi level = 5.20 states/eV/cell